This record from the Alexandria database describes a relaxed structure of Tb3Ce2PaP6. The functional is PBE.

The structure in extended XYZ format:
```
12
Lattice="6.998 0.000 0.001 -3.497 6.062 0.001 -1.167 -2.021 6.569" Properties=species:S:1:pos:R:3 pbc="T T T"
Tb -2.314 4.031 3.285
Tb 4.648 0.010 3.285
Tb 1.167 2.020 3.285
Ce 0.005 4.039 0.001
Ce 3.496 2.023 0.001
Pa 0.000 0.000 0.000
P 3.475 2.064 4.936
P 2.360 4.087 1.634
P -1.141 1.977 1.634
P 0.051 4.041 4.936
P -0.027 -0.046 4.936
P 2.282 -0.001 1.634
```

**Energy of formation from the pure elements**: -1532 meV per atom
**E_tot**: -7.175 eV/atom
**Fermi-level density of states**: 1.099 states/eV/atom
**Size of the total moment**: 1.25 μB per cell

This record from the Alexandria database describes a relaxed structure of HfSb2ICl. The functional is PBE.

The structure in extended XYZ format:
```
5
Lattice="-2.850 0.734 -4.933 2.889 -4.389 -2.322 -3.615 -3.231 1.608" Properties=species:S:1:pos:R:3 pbc="T T T"
I 0.000 0.000 0.000
Sb 1.444 -2.194 -1.161
Sb -1.425 0.367 -2.466
Hf -1.788 -3.443 -2.824
Cl -1.808 -1.615 0.804
```

**Formation energy (no corrections)**: 1.06 eV/atom
**Offset from the most stable computed form**: 1034.0 meV per atom
**E_tot**: -3.260 eV/atom
**Fermi-level density of states**: 0.720 states/eV/atom
**Size of the total moment**: 0.00 μB per cell

This record from the Alexandria database describes a relaxed structure of Lu2TaHg. The functional is PBE.

The structure in extended XYZ format:
```
4
Lattice="-2.126 1.799 -1.766 -2.483 -1.895 1.058 -1.134 5.213 6.674" Properties=species:S:1:pos:R:3 pbc="T T T"
Lu -0.845 3.886 4.975
Lu -0.289 1.327 1.699
Hg -2.304 -0.048 -0.354
Ta -2.871 2.559 2.983
```

**Energy of formation from the pure elements**: -53 meV per atom
**Offset from the most stable computed form**: 0.0 meV per atom
**E_tot**: -5.352 eV/atom
**Fermi-level density of states**: 0.836 states/eV/atom
**Size of the total moment**: 0.00 μB per cell

This record from the Alexandria database describes a relaxed structure of BaAsOs. The functional is PBE.

The structure in extended XYZ format:
```
12
Lattice="-3.626 0.760 -5.624 3.505 -4.948 -2.929 -4.463 -4.504 2.268" Properties=species:S:1:pos:R:3 pbc="T T T"
As 0.000 0.000 0.000
As -0.060 -2.094 -4.276
As -4.044 -1.872 -1.678
As -0.479 -4.726 -0.330
Os -2.959 -1.793 -4.383
Os 0.607 -4.647 -3.036
Os -3.377 -4.425 -0.437
Os -3.437 -6.519 -4.713
Ba -1.813 0.380 -2.812
Ba 1.753 -2.474 -1.465
Ba -2.231 -2.252 1.134
Ba -2.292 -4.346 -3.142
```

**Energy of formation from the pure elements**: 678 meV per atom
**E_tot**: -5.256 eV/atom
**Fermi-level density of states**: 0.923 states/eV/atom
**Size of the total moment**: 0.00 μB per cell

This record from the Alexandria database describes a relaxed structure of Hf2MnAu2. The functional is PBE.

The structure in extended XYZ format:
```
10
Lattice="6.984 0.000 0.000 0.000 6.984 0.000 0.000 0.000 3.959" Properties=species:S:1:pos:R:3 pbc="T T T"
Hf 2.332 5.824 0.000
Hf 5.824 4.652 0.000
Hf 4.652 1.160 0.000
Hf 1.160 2.332 0.000
Mn 0.000 0.000 0.000
Mn 3.492 3.492 0.000
Au 0.989 4.481 1.979
Au 4.481 5.995 1.979
Au 5.995 2.503 1.979
Au 2.503 0.989 1.979
```

**Energy of formation from the pure elements**: 73 meV per atom
**Offset from the most stable computed form**: 53.4 meV per atom
**E_tot**: -7.053 eV/atom
**Fermi-level density of states**: 0.627 states/eV/atom
**Size of the total moment**: 0.00 μB per cell

This record from the Alexandria database describes a relaxed structure of Na3Y3ThTe8. The functional is PBE.

The structure in extended XYZ format:
```
15
Lattice="-6.066 6.174 -1.969 -2.422 -8.500 0.813 2.336 4.693 7.520" Properties=species:S:1:pos:R:3 pbc="T T T"
Na 0.000 0.000 0.000
Na -1.211 -4.250 0.407
Na -4.244 -1.163 -0.578
Y -1.865 5.433 2.775
Y -3.076 1.183 3.182
Y -0.043 -1.904 4.167
Th 1.168 2.346 3.760
Te -2.166 -1.513 1.927
Te -3.986 3.880 4.437
Te -5.165 1.603 0.932
Te -0.986 0.763 5.432
Te -3.975 5.781 0.533
Te -2.177 -3.415 5.831
Te -0.994 2.747 1.501
Te -5.158 -0.380 4.863
```

**Formation energy (no corrections)**: -1.30 eV/atom
**E_tot**: -5.024 eV/atom
**Size of the total moment**: 0.00 μB per cell

This record from the Alexandria database describes a relaxed structure of Y2NiPdC. The functional is PBE.

The structure in extended XYZ format:
```
5
Lattice="4.979 0.000 0.000 0.000 4.979 0.000 0.000 0.000 3.644" Properties=species:S:1:pos:R:3 pbc="T T T"
Y 0.000 2.489 0.000
Y 2.489 0.000 0.000
Ni 0.000 0.000 1.822
C 0.000 0.000 0.000
Pd 2.489 2.489 1.822
```

**Energy of formation from the pure elements**: -560 meV per atom
**E_tot**: -7.186 eV/atom
**Fermi-level density of states**: 0.566 states/eV/atom
**Size of the total moment**: 0.00 μB per cell

This record from the Alexandria database describes a relaxed structure of P3C. The functional is PBE.

The structure in extended XYZ format:
```
4
Lattice="2.869 0.000 0.000 0.000 4.161 -0.020 0.000 -0.520 4.709" Properties=species:S:1:pos:R:3 pbc="T T T"
P 1.434 2.525 3.971
P 0.000 1.821 2.344
P 1.434 1.116 0.718
C 0.000 0.000 0.000
```

**Energy of formation from the pure elements**: 958 meV per atom
**Offset from the most stable computed form**: 550.2 meV per atom
**E_tot**: -5.405 eV/atom
**Fermi-level density of states**: 0.427 states/eV/atom
**Size of the total moment**: 0.00 μB per cell

This record from the Alexandria database describes a relaxed structure of Pm6Bi5H. The functional is PBE.

The structure in extended XYZ format:
```
12
Lattice="7.827 0.212 0.000 2.407 7.421 0.000 1.203 3.711 6.732" Properties=species:S:1:pos:R:3 pbc="T T T"
Pm 6.500 1.990 2.228
Pm 3.733 5.643 2.228
Pm 2.607 1.892 0.000
Pm 7.626 5.742 0.000
Pm 7.703 5.700 4.504
Pm 4.936 9.354 4.504
Bi 5.117 3.817 4.430
Bi 1.203 3.711 2.223
Bi 5.117 3.817 0.000
Bi 2.407 7.421 4.509
Bi 6.320 7.527 2.302
H 0.000 0.000 0.000
```

**E_tot**: -5.004 eV/atom
**Fermi-level density of states**: 0.359 states/eV/atom
**Size of the total moment**: 0.00 μB per cell

This record from the Alexandria database describes a relaxed structure of Pa2ZnMo. The functional is PBE.

The structure in extended XYZ format:
```
4
Lattice="3.440 0.000 0.000 0.000 3.440 0.000 0.000 0.000 7.311" Properties=species:S:1:pos:R:3 pbc="T T T"
Mo 1.720 1.720 0.000
Pa 0.000 0.000 5.594
Pa 0.000 0.000 1.717
Zn 1.720 1.720 3.656
```

**Energy of formation from the pure elements**: 105 meV per atom
**Offset from the most stable computed form**: 6.4 meV per atom
**E_tot**: -7.669 eV/atom
**Fermi-level density of states**: 1.414 states/eV/atom
**Size of the total moment**: 0.00 μB per cell

This record from the Alexandria database describes a relaxed structure of CaPr4Y3. The functional is PBE.

The structure in extended XYZ format:
```
16
Lattice="7.330 0.000 0.000 0.000 10.352 0.000 0.000 0.000 7.337" Properties=species:S:1:pos:R:3 pbc="T T T"
Pr 0.000 3.255 0.001
Pr 0.000 3.256 3.667
Pr 1.832 0.666 1.797
Pr 1.833 5.842 5.540
Pr 3.665 8.432 3.670
Pr 3.665 8.432 7.336
Pr 5.497 5.842 5.540
Pr 5.498 0.666 1.797
Y 0.000 8.431 7.336
Y 1.832 0.668 5.561
Y 1.833 5.844 1.776
Y 3.665 3.255 0.001
Y 5.497 5.844 1.776
Y 5.498 0.668 5.561
Ca 0.000 8.430 3.669
Ca 3.665 3.254 3.668
```

**Energy of formation from the pure elements**: 33 meV per atom
**E_tot**: -5.030 eV/atom
**Fermi-level density of states**: 1.177 states/eV/atom
**Size of the total moment**: 0.00 μB per cell